## NdDyCdBi (PBE-GGA)

Data for a relaxed NdDyCdBi crystal.

Output
For the formation energy, the calculation gives -0.45 eV/atom. The value obtained for the calculated volume is 115.1 Å³ per cell. As for the magnetic moment: 0.00 μB per cell.

CIF file:
```
data_NdDyCdBi
_cell_length_a 5.4594
_cell_length_b 5.4594
_cell_length_c 5.4594
_cell_angle_alpha 60.00
_cell_angle_beta 60.00
_cell_angle_gamma 60.00
_space_group_name_H-M_alt 'P 1'
_space_group_IT_number 1
loop_
_space_group_symop_operation_xyz
'x,y,z'
loop_
_atom_site_label
_atom_site_type_symbol
_atom_site_fract_x
_atom_site_fract_y
_atom_site_fract_z
_atom_site_occupancy
Cd1 Cd 0.7500 0.7500 0.7500 1
Bi1 Bi 0.2500 0.2500 0.2500 1
Dy1 Dy 0.5000 0.5000 0.5000 1
Nd1 Nd 0.0000 0.0000 0.0000 1
```

=====

## PmDyCdBi (PBE-GGA)

Data for a relaxed PmDyCdBi crystal.

Output
For the formation energy, the calculation gives -0.44 eV/atom. The value obtained for the calculated volume is 114.0 Å³ per cell. As for the magnetic moment: 0.00 μB per cell.

CIF file:
```
data_PmDyCdBi
_cell_length_a 5.4419
_cell_length_b 5.4419
_cell_length_c 5.4419
_cell_angle_alpha 60.00
_cell_angle_beta 60.00
_cell_angle_gamma 60.00
_space_group_name_H-M_alt 'P 1'
_space_group_IT_number 1
loop_
_space_group_symop_operation_xyz
'x,y,z'
loop_
_atom_site_label
_atom_site_type_symbol
_atom_site_fract_x
_atom_site_fract_y
_atom_site_fract_z
_atom_site_occupancy
Pm1 Pm 0.7500 0.7500 0.7500 1
Cd1 Cd 0.0000 0.0000 0.0000 1
Dy1 Dy 0.2500 0.2500 0.2500 1
Bi1 Bi 0.5000 0.5000 0.5000 1
```

=====

## PrDyCdBi (PBE-GGA)

Data for a relaxed PrDyCdBi crystal.

Output
For the formation energy, the calculation gives -0.45 eV/atom. The value obtained for the calculated volume is 116.2 Å³ per cell. As for the magnetic moment: 0.00 μB per cell.

CIF file:
```
data_PrDyCdBi
_cell_length_a 5.4779
_cell_length_b 5.4779
_cell_length_c 5.4779
_cell_angle_alpha 60.00
_cell_angle_beta 60.00
_cell_angle_gamma 60.00
_space_group_name_H-M_alt 'P 1'
_space_group_IT_number 1
loop_
_space_group_symop_operation_xyz
'x,y,z'
loop_
_atom_site_label
_atom_site_type_symbol
_atom_site_fract_x
_atom_site_fract_y
_atom_site_fract_z
_atom_site_occupancy
Pr1 Pr 0.0000 0.0000 0.0000 1
Cd1 Cd 0.7500 0.7500 0.7500 1
Dy1 Dy 0.5000 0.5000 0.5000 1
Bi1 Bi 0.2500 0.2500 0.2500 1
```

=====

Q: Which value of magnetic moment does entry 1 give?
A: 0.00 μB per cell

=====

Q: Which value of magnetic moment does entry 1 give?
A: 0.00 μB per cell